# NaCoHgF6

A geometry-optimized NaCoHgF6 structure (PBE+U, Alexandria via LeMat-Bulk).

Unit cell a=5.6714 b=5.6714 c=9.1153 alpha=90.00 beta=90.00 gamma=120.00
Atoms (fractional coordinates):
F1 0.6081 0.6707 0.6350
F2 0.9375 0.3293 0.1350
F3 0.3919 0.0625 0.1350
F4 0.6081 0.9375 0.8650
F5 0.0625 0.3919 0.6350
F6 0.0625 0.6707 0.8650
F7 0.6706 0.0625 0.3650
F8 0.3293 0.3919 0.8650
F9 0.3293 0.9375 0.6350
F10 0.3919 0.3293 0.3650
F11 0.6706 0.6081 0.1350
F12 0.9375 0.6081 0.3650
Co1 0.3333 0.6667 0.7500
Co2 0.6667 0.3333 0.2500
Na1 0.0000 0.0000 0.5000
Na2 0.0000 0.0000 0.0000
Hg1 0.6667 0.3333 0.7500
Hg2 0.3333 0.6667 0.2500

# Co2HgPbF8

A geometry-optimized Co2HgPbF8 structure (PBE+U, Alexandria via LeMat-Bulk).

Unit cell a=5.2640 b=5.1673 c=6.8100 alpha=90.12 beta=90.11 gamma=90.17
Atoms (fractional coordinates):
F1 0.7788 0.2332 0.7591
F2 0.2212 0.7668 0.2409
F3 0.6642 0.6753 0.5003
F4 0.3285 0.3168 0.9996
F5 0.3358 0.3247 0.4997
F6 0.7787 0.2331 0.2410
F7 0.2213 0.7669 0.7590
F8 0.6715 0.6832 0.0004
Hg1 0.0000 0.0000 0.0000
Co1 0.5000 0.5000 0.7544
Co2 0.5000 0.5000 0.2456
Pb1 0.0000 0.0000 0.5000

# CoHg2PbF8

A geometry-optimized CoHg2PbF8 structure (PBE+U, Alexandria via LeMat-Bulk).

Unit cell a=6.4507 b=6.4507 c=6.4507 alpha=111.62 beta=111.62 gamma=105.25
Atoms (fractional coordinates):
Hg1 0.7500 0.2500 0.5000
Hg2 0.5000 0.5000 0.0000
F1 0.2908 0.0809 0.7900
F2 0.6899 0.0189 0.6710
F3 0.9811 0.6520 0.6710
F4 0.3480 0.0189 0.3290
F5 0.2908 0.5008 0.2100
F6 0.9191 0.7092 0.2100
F7 0.9811 0.3101 0.3290
F8 0.4992 0.7092 0.7900
Co1 0.2500 0.7500 0.5000
Pb1 0.0000 0.0000 0.0000

# CoHgPdF6

A geometry-optimized CoHgPdF6 structure (PBE+U, Alexandria via LeMat-Bulk).

Unit cell a=5.7142 b=5.7142 c=9.0452 alpha=90.00 beta=90.00 gamma=120.00
Atoms (fractional coordinates):
F1 0.3210 0.3641 0.8706
F2 0.0431 0.6790 0.8706
F3 0.3210 0.9569 0.6294
F4 0.9569 0.6359 0.3706
F5 0.3641 0.3210 0.3706
F6 0.6790 0.0431 0.3706
F7 0.6790 0.6359 0.1294
F8 0.3641 0.0431 0.1294
F9 0.6359 0.9569 0.8706
F10 0.6359 0.6790 0.6294
F11 0.9569 0.3210 0.1294
F12 0.0431 0.3641 0.6294
Hg1 0.6667 0.3333 0.7500
Hg2 0.3333 0.6667 0.2500
Co1 0.3333 0.6667 0.7500
Co2 0.6667 0.3333 0.2500
Pd1 0.0000 0.0000 0.5000
Pd2 0.0000 0.0000 0.0000

# Rb2Co3HgF12

A geometry-optimized Rb2Co3HgF12 structure (PBE+U, Alexandria via LeMat-Bulk).

Unit cell a=7.3389 b=7.3389 c=7.3389 alpha=60.98 beta=60.98 gamma=60.98
Atoms (fractional coordinates):
F1 0.2953 0.9118 0.2953
F2 0.1052 0.1052 0.6146
F3 0.0882 0.7047 0.7047
F4 0.7047 0.7047 0.0882
F5 0.8948 0.3854 0.8948
F6 0.1052 0.6146 0.1052
F7 0.2953 0.2953 0.9118
F8 0.8948 0.8948 0.3854
F9 0.3854 0.8948 0.8948
F10 0.7047 0.0882 0.7047
F11 0.6146 0.1052 0.1052
F12 0.9118 0.2953 0.2953
Rb1 0.3828 0.3828 0.3828
Rb2 0.6172 0.6172 0.6172
Co1 0.5000 0.0000 0.0000
Co2 0.0000 0.0000 0.5000
Co3 0.0000 0.5000 0.0000
Hg1 0.0000 0.0000 0.0000

# RbCoHgF6

A geometry-optimized RbCoHgF6 structure (PBE+U, Alexandria via LeMat-Bulk).

Unit cell a=7.6023 b=7.3514 c=7.3283 alpha=120.10 beta=121.24 gamma=90.00
Atoms (fractional coordinates):
F1 0.4461 0.1961 0.8922
F2 0.7996 0.1598 0.2544
F3 0.4548 0.5946 0.2544
F4 0.5452 0.8402 0.7456
F5 0.4548 0.1598 0.2544
F6 0.2004 0.4054 0.7456
F7 0.5452 0.4054 0.7456
F8 0.8657 0.1157 0.7315
F9 0.1343 0.8843 0.2685
F10 0.5539 0.8039 0.1078
F11 0.2004 0.8402 0.7456
F12 0.7996 0.5946 0.2544
Hg1 0.0000 0.0000 0.5000
Hg2 0.5000 0.0000 0.5000
Rb1 0.1539 0.4039 0.3079
Rb2 0.8461 0.5961 0.6921
Co1 0.5000 0.0000 0.0000
Co2 0.5000 0.5000 0.0000

# Rb2CoHgF6

A geometry-optimized Rb2CoHgF6 structure (PBE+U, Alexandria via LeMat-Bulk).

Unit cell a=6.2085 b=6.2085 c=6.2196 alpha=60.06 beta=60.06 gamma=90.00
Atoms (fractional coordinates):
F1 0.2698 0.7302 0.0000
F2 0.7302 0.7302 0.0000
F3 0.2698 0.2698 0.0000
F4 0.7302 0.2698 0.0000
F5 0.2566 0.2566 0.4868
F6 0.7434 0.7434 0.5132
Co1 0.5000 0.5000 0.0000
Rb1 0.7500 0.2500 0.5000
Rb2 0.2500 0.7500 0.5000
Hg1 0.0000 0.0000 0.0000

# CoReHgF2

A geometry-optimized CoReHgF2 structure (PBE+U, Alexandria via LeMat-Bulk).

Unit cell a=3.9192 b=6.0472 c=3.9192 alpha=90.00 beta=90.00 gamma=90.00
Atoms (fractional coordinates):
F1 0.5000 0.0000 0.0000
F2 0.0000 0.0000 0.5000
Re1 0.5000 0.5000 0.5000
Hg1 0.0000 0.5000 0.0000
Co1 0.0000 0.0000 0.0000

# SrCoHgF6

A geometry-optimized SrCoHgF6 structure (PBE+U, Alexandria via LeMat-Bulk).

Unit cell a=5.8027 b=5.8027 c=10.0906 alpha=90.00 beta=90.00 gamma=120.00
Atoms (fractional coordinates):
F1 0.6692 0.6330 0.1381
F2 0.0363 0.6692 0.8619
F3 0.9637 0.6330 0.3619
F4 0.3670 0.0363 0.1381
F5 0.6330 0.9637 0.8619
F6 0.9637 0.3308 0.1381
F7 0.6692 0.0363 0.3619
F8 0.0363 0.3670 0.6381
F9 0.3308 0.3670 0.8619
F10 0.3308 0.9637 0.6381
F11 0.3670 0.3308 0.3619
F12 0.6330 0.6692 0.6381
Co1 0.3333 0.6667 0.7500
Co2 0.6667 0.3333 0.2500
Hg1 0.3333 0.6667 0.2500
Hg2 0.6667 0.3333 0.7500
Sr1 0.0000 0.0000 0.5000
Sr2 0.0000 0.0000 0.0000

# SrCoHgF2

A geometry-optimized SrCoHgF2 structure (PBE+U, Alexandria via LeMat-Bulk).

Unit cell a=4.3084 b=5.8658 c=4.3084 alpha=90.00 beta=90.00 gamma=90.00
Atoms (fractional coordinates):
Hg1 0.5000 0.5000 0.5000
F1 0.0000 0.0000 0.5000
F2 0.5000 0.0000 0.0000
Sr1 0.0000 0.5000 0.0000
Co1 0.0000 0.0000 0.0000

# TaCoHg2F

A geometry-optimized TaCoHg2F structure (PBE+U, Alexandria via LeMat-Bulk).

Calculated values
Polymorph energy (0 for the lowest one), eV per formula unit: 0.612

Unit cell a=4.9393 b=4.3590 c=4.9393 alpha=90.00 beta=90.00 gamma=90.00
Atoms (fractional coordinates):
F1 0.5000 0.5000 0.5000
Ta1 0.0000 0.5000 0.0000
Hg1 0.0000 0.0000 0.5000
Hg2 0.5000 0.0000 0.0000
Co1 0.0000 0.0000 0.0000

# TaCoHg2F

A geometry-optimized TaCoHg2F structure (PBE+U, Alexandria via LeMat-Bulk).

Calculated values
Polymorph energy (0 for the lowest one), eV per formula unit: 0.000

Unit cell a=5.2507 b=3.5746 c=5.2507 alpha=90.00 beta=90.00 gamma=90.00
Atoms (fractional coordinates):
Co1 0.0000 0.0000 0.0000
Hg1 0.5000 0.0000 0.0000
Hg2 0.0000 0.0000 0.5000
F1 0.0000 0.5000 0.0000
Ta1 0.5000 0.5000 0.5000

| no. | VASP energy (eV/atom) |
| --- | --- |
| 1 | -3.917 |
| 2 | -4.409 |
| 3 | -3.660 |
| 4 | -3.851 |
| 5 | -4.291 |
| 6 | -3.917 |
| 7 | -4.055 |
| 8 | -4.371 |
| 9 | -4.516 |
| 10 | -3.168 |
| 11 | -3.369 |
| 12 | -3.491 |